Record 1
Crystalline YZr2Co at its relaxed geometry, computed with PBE.

Values from the calculation:
Formation enthalpy at 0 K = 91 kJ/mol of formula units
Total magnetization = 0.000 μB per atom
Energy above the lowest structure with this stoichiometry = 0.3850 eV per atom
SG = P4/mmm
Uncorrected energy = -7.431 eV per atom

a b c (Å): 5.158 4.059 4.059
angles (deg): 90.00 90.00 90.00
Element x y z (fractional)
Zr: 0.000 0.000 0.000
Co: 0.500 0.500 0.000
Zr: 0.000 0.500 0.500
Y: 0.500 0.000 0.500

---

Record 2
Crystalline Rb3Ca at its relaxed geometry, computed with PBE.

Values from the calculation:
Formation enthalpy at 0 K = 69 kJ/mol of formula units
Total magnetization = 0.000 μB per atom
SG = I4/mmm
Uncorrected energy = -1.048 eV per atom

a b c (Å): 8.043 8.043 8.043
angles (deg): 130.31 130.31 72.91
Element x y z (fractional)
Rb: 0.500 0.500 0.000
Ca: 0.000 0.000 0.000
Rb: 0.750 0.250 0.500
Rb: 0.250 0.750 0.500

---

Record 3
Crystalline Ti3Al3RePd2 at its relaxed geometry, computed with PBE.

Values from the calculation:
Formation enthalpy at 0 K = -442 kJ/mol of formula units
Total magnetization = 0.000 μB per atom
SG = P-62m
Uncorrected energy = -6.925 eV per atom

a b c (Å): 2.994 7.452 7.452
angles (deg): 120.00 90.00 90.00
Element x y z (fractional)
Al: 0.000 0.371 0.000
Ti: 0.500 0.279 0.279
Al: 0.000 0.000 0.371
Pd: 0.500 0.333 0.667
Ti: 0.500 0.000 0.721
Re: 0.000 0.000 0.000
Al: 0.000 0.629 0.629
Ti: 0.500 0.721 0.000
Pd: 0.500 0.667 0.333

---

Record 4
Crystalline Ta2V2Si at its relaxed geometry, computed with PBE.

Values from the calculation:
Total magnetization = 0.000 μB per atom
Formation energy (no corrections) = 758 meV/atom
Energy above the lowest structure with this stoichiometry = 0.6689 eV per atom
SG = I4/mmm
Uncorrected energy = -8.715 eV per atom

a b c (Å): 3.704 3.704 6.800
angles (deg): 74.20 74.20 90.00
Element x y z (fractional)
V: 0.581 0.581 0.838
Ta: 0.250 0.750 0.500
Si: 0.000 0.000 0.000
Ta: 0.750 0.250 0.500
V: 0.419 0.419 0.162